## RbBaVSe4 (PBE)

Data for a relaxed RbBaVSe4 crystal. Values from VASP.

Geometry as Quantum ESPRESSO input:
```
&SYSTEM
  ibrav = 0, nat = 14, ntyp = 4
/
ATOMIC_SPECIES
Rb 85.47 Rb.upf
Ba 137.33 Ba.upf
V 50.94 V.upf
Se 78.96 Se.upf
ATOMIC_POSITIONS crystal
Rb 0.2073 0.2500 0.4258
Rb 0.7927 0.7500 0.5742
Ba 0.2704 0.2500 0.9601
Ba 0.7296 0.7500 0.0399
V 0.3104 0.7500 0.1999
V 0.6896 0.2500 0.8001
Se 0.1028 0.7500 0.3364
Se 0.1465 0.7500 0.9578
Se 0.4869 0.5053 0.7484
Se 0.4869 0.9947 0.7484
Se 0.5131 0.0053 0.2516
Se 0.5131 0.4947 0.2516
Se 0.8535 0.2500 0.0422
Se 0.8972 0.2500 0.6636
CELL_PARAMETERS angstrom
7.1962 0.0000 0.0000
0.0000 7.1241 0.0000
-2.9680 0.0000 9.3362
```

## Properties
**Crystal system**: monoclinic
**SG**: P2_1/m (11)

## RbBa2WSe (PBE)

Data for a relaxed RbBa2WSe crystal. Values from VASP.

Geometry as Quantum ESPRESSO input:
```
&SYSTEM
  ibrav = 0, nat = 5, ntyp = 4
/
ATOMIC_SPECIES
Rb 85.47 Rb.upf
Ba 137.33 Ba.upf
W 183.84 W.upf
Se 78.96 Se.upf
ATOMIC_POSITIONS crystal
Rb 0.0000 0.0000 0.0000
Ba 0.0000 0.5000 0.5000
Ba 0.5000 0.0000 0.5000
W 0.5000 0.5000 0.0000
Se 0.0000 0.0000 0.5000
CELL_PARAMETERS angstrom
6.2744 0.0000 0.0000
0.0000 6.2744 0.0000
0.0000 0.0000 6.3439
```

## Properties
**Crystal system**: tetragonal
**SG**: P4/mmm (123)

## Rb2BaZn2Se4 (PBE)

Data for a relaxed Rb2BaZn2Se4 crystal. Values from VASP.

Geometry as Quantum ESPRESSO input:
```
&SYSTEM
  ibrav = 0, nat = 9, ntyp = 4
/
ATOMIC_SPECIES
Rb 85.47 Rb.upf
Ba 137.33 Ba.upf
Zn 65.41 Zn.upf
Se 78.96 Se.upf
ATOMIC_POSITIONS crystal
Rb 0.1222 0.1222 0.0709
Rb 0.8778 0.8778 0.9291
Ba 0.0000 0.0000 0.5000
Zn 0.3286 0.3286 0.5358
Zn 0.6714 0.6714 0.4642
Se 0.2146 0.2146 0.6478
Se 0.4765 0.4765 0.7482
Se 0.5235 0.5235 0.2518
Se 0.7854 0.7854 0.3522
CELL_PARAMETERS angstrom
8.6148 -2.1760 0.0000
8.6148 2.1760 0.0000
-3.8528 0.0000 8.0162
```

## Properties
**Crystal system**: monoclinic
**SG**: C2/m (12)

## RbBa3Si (PBE)

Data for a relaxed RbBa3Si crystal. Values from VASP.

Geometry as Quantum ESPRESSO input:
```
&SYSTEM
  ibrav = 0, nat = 5, ntyp = 3
/
ATOMIC_SPECIES
Rb 85.47 Rb.upf
Ba 137.33 Ba.upf
Si 28.09 Si.upf
ATOMIC_POSITIONS crystal
Rb 0.0000 0.0000 0.0000
Ba 0.0000 0.0000 0.5000
Ba 0.0000 0.5000 0.0000
Ba 0.5000 0.0000 0.0000
Si 0.5000 0.5000 0.5000
CELL_PARAMETERS angstrom
6.2409 0.0000 0.0000
0.0000 6.2409 0.0000
0.0000 0.0000 6.2409
```

## Properties
**Crystal system**: cubic
**SG**: Pm-3m (221)
**E above lowest polymorph**: 26.12 kcal/mol of atoms

## RbBa3Si (PBE)

Data for a relaxed RbBa3Si crystal. Values from VASP.

Geometry as Quantum ESPRESSO input:
```
&SYSTEM
  ibrav = 0, nat = 5, ntyp = 3
/
ATOMIC_SPECIES
Rb 85.47 Rb.upf
Ba 137.33 Ba.upf
Si 28.09 Si.upf
ATOMIC_POSITIONS crystal
Rb 0.0000 0.0000 0.0000
Ba 0.0000 0.5000 0.5000
Ba 0.5000 0.0000 0.5000
Ba 0.5000 0.5000 0.0000
Si 0.5000 0.5000 0.5000
CELL_PARAMETERS angstrom
6.6676 0.0000 0.0000
0.0000 6.6676 0.0000
0.0000 0.0000 6.6676
```

## Properties
**Crystal system**: cubic
**SG**: Pm-3m (221)
**E above lowest polymorph**: 0.00 kcal/mol of atoms

## Rb2BaSi2 (PBE)

Data for a relaxed Rb2BaSi2 crystal. Values from VASP.

Geometry as Quantum ESPRESSO input:
```
&SYSTEM
  ibrav = 0, nat = 10, ntyp = 3
/
ATOMIC_SPECIES
Rb 85.47 Rb.upf
Ba 137.33 Ba.upf
Si 28.09 Si.upf
ATOMIC_POSITIONS crystal
Rb 0.1734 0.3266 0.0000
Rb 0.3266 0.8266 0.0000
Rb 0.6734 0.1734 0.0000
Rb 0.8266 0.6734 0.0000
Ba 0.0000 0.0000 0.5000
Ba 0.5000 0.5000 0.5000
Si 0.0947 0.5947 0.5000
Si 0.4053 0.0947 0.5000
Si 0.5947 0.9053 0.5000
Si 0.9053 0.4053 0.5000
CELL_PARAMETERS angstrom
8.3593 0.0000 0.0000
0.0000 8.3593 0.0000
0.0000 0.0000 5.9652
```

## Properties
**Crystal system**: tetragonal
**SG**: P4/mbm (127)
**E above lowest polymorph**: 0.79 kcal/mol of atoms

Ordered E_form (uncorrected) results: -1.256 0.518 -1.171 1.083 -0.050 0.109; unit eV per atom.